Entry 1:
! Dy2ErPa PBE optimized geometry; values from VASP
&SYSTEM
  ibrav = 0, nat = 4, ntyp = 3
/
ATOMIC_SPECIES
Pa 231.04 Pa.upf
Dy 162.50 Dy.upf
Er 167.26 Er.upf
CELL_PARAMETERS angstrom
3.405 0.000 0.000
0.000 3.405 0.000
0.000 0.000 10.131
ATOMIC_POSITIONS crystal
Pa 0.500 0.500 0.000
Dy 0.000 0.000 0.765
Dy 0.000 0.000 0.235
Er 0.500 0.500 0.500
! - Energy above the most stable polymorph in this dataset: 0.020 eV per atom
! - DFT formation energy: 130 meV/atom
! - Symmetry: P4/mmm



Entry 2:
! DyErPa PBE optimized geometry; values from VASP
&SYSTEM
  ibrav = 0, nat = 12, ntyp = 3
/
ATOMIC_SPECIES
Pa 231.04 Pa.upf
Er 167.26 Er.upf
Dy 162.50 Dy.upf
CELL_PARAMETERS angstrom
-5.020 2.033 0.819
-2.487 -3.148 -7.431
-2.287 -7.182 3.809
ATOMIC_POSITIONS crystal
Pa 0.000 0.500 0.657
Pa 0.500 0.343 0.500
Pa 0.500 0.657 0.500
Pa 0.000 0.500 0.343
Er 0.000 0.834 0.500
Er 0.500 0.500 0.834
Er 0.500 0.500 0.166
Er 0.000 0.166 0.500
Dy 0.000 0.765 0.000
Dy 0.500 0.000 0.765
Dy 0.500 0.000 0.235
Dy 0.000 0.235 0.000
! - Energy above the most stable polymorph in this dataset: 0.378 eV per atom
! - DFT formation energy: 491 meV/atom
! - Symmetry: P4_2/mmc



Entry 3:
! Dy2ErPa PBE optimized geometry; values from VASP
&SYSTEM
  ibrav = 0, nat = 4, ntyp = 3
/
ATOMIC_SPECIES
Pa 231.04 Pa.upf
Dy 162.50 Dy.upf
Er 167.26 Er.upf
CELL_PARAMETERS angstrom
3.322 0.000 0.000
1.661 2.877 0.000
1.661 0.959 12.164
ATOMIC_POSITIONS crystal
Pa 0.000 0.000 0.000
Dy 0.088 0.088 0.737
Dy 0.912 0.912 0.263
Er 0.500 0.500 0.500
! - Energy above the most stable polymorph in this dataset: 0.163 eV per atom
! - DFT formation energy: 274 meV/atom
! - Symmetry: R-3m



Number 1: DOS at the Fermi energy 1.58 states/eV per atom. Number 2: DOS at the Fermi energy 1.74 states/eV per atom. Number 3: DOS at the Fermi energy 1.38 states/eV per atom.